Density functional theory data (PBE-GGA) for crystalline LaTa2Co at its relaxed geometry.

a b c (Å): 5.5648 5.5648 5.5648
angles (deg): 146.57 124.82 66.07
With the nearest neighbours (Å) after each atom.
Atoms (fractional coordinates):
Ta (0.9920, 0.9920, 0.0000)  4 Co 3.04, 6 Ta 3.05-3.31, 4 La 3.08-3.28
Ta (0.7142, 0.2142, 0.5000)  2 Co 2.42
Co (0.5194, 0.5194, 0.0000)  2 Ta 2.42
La (0.2744, 0.7744, 0.5000)  2 Co 2.79, 6 Ta 3.08-3.09

Computed properties:
The crystal system is orthorhombic. The calculation puts the energy above the most stable polymorph in this dataset at 339.2 meV per atom. As for the theoretical density: 12.1 g/cm³. Its space group is Imm2, No. 44. For the formation energy from the elements, the calculation gives 1.9 eV per formula unit.



Density functional theory data (PBE-GGA) for crystalline LaTa2Co at its relaxed geometry.

a b c (Å): 3.1258 3.1179 8.7160
angles (deg): 68.97 90.00 90.00
With the nearest neighbours (Å) after each atom.
Atoms (fractional coordinates):
Ta (0.0000, 0.9504, 0.0499)  8 Ta 2.93-3.13, 1 Co 3.17
Ta (0.5000, 0.2122, 0.2877)  4 Co 2.53
Co (0.0000, 0.5596, 0.4401)  4 Ta 2.53
La (0.5000, 0.7778, 0.7223)  4 La 3.12-3.13, 4 Co 3.18-3.19, 4 Ta 3.46

Computed properties:
The crystal system is monoclinic. The calculation puts the energy above the most stable polymorph in this dataset at 0.0 meV per atom. As for the theoretical density: 11.7 g/cm³. Its space group is Pm, No. 6. For the formation energy from the elements, the calculation gives 0.6 eV per formula unit.



Density functional theory data (PBE-GGA) for crystalline LaTa2Co at its relaxed geometry.

a b c (Å): 5.1793 5.7390 2.9804
angles (deg): 80.48 77.94 113.39
With the nearest neighbours (Å) after each atom.
Atoms (fractional coordinates):
Co (0.0000, 0.5000, 0.5000)  2 La 2.70, 2 Co 2.98, 4 Ta 3.01
La (0.5000, 0.5000, 0.0000)  2 Co 2.70, 2 La 2.98, 4 Ta 3.01
Ta (0.0000, 0.0000, 0.0000)  4 Ta 2.70-2.98, 2 Co 3.01, 2 La 3.01
Ta (0.5000, 0.0000, 0.5000)  4 Ta 2.70-2.98, 2 La 3.01, 2 Co 3.01

Computed properties:
The crystal system is monoclinic. The calculation puts the energy above the most stable polymorph in this dataset at 414.8 meV per atom. As for the theoretical density: 12.2 g/cm³. Its space group is C2/m, No. 12. For the formation energy from the elements, the calculation gives 2.2 eV per formula unit.



Density functional theory data (PBE-GGA) for crystalline LaTa2Co at its relaxed geometry.

a b c (Å): 4.6535 4.6535 4.6535
angles (deg): 60.00 60.00 60.00
With the nearest neighbours (Å) after each atom.
Atoms (fractional coordinates):
Co (0.0000, 0.0000, 0.0000)  8 Ta 2.85
La (0.5000, 0.5000, 0.5000)  8 Ta 2.85
Ta (0.2500, 0.2500, 0.2500)  4 La 2.85, 4 Co 2.85
Ta (0.7500, 0.7500, 0.7500)  4 La 2.85, 4 Co 2.85

Computed properties:
The crystal system is cubic. The calculation puts the energy above the most stable polymorph in this dataset at 426.2 meV per atom. As for the theoretical density: 13.0 g/cm³. Its space group is Fm-3m, No. 225. For the formation energy from the elements, the calculation gives 2.3 eV per formula unit.



Density functional theory data (PBE-GGA) for crystalline LaTa2Co at its relaxed geometry.

a b c (Å): 4.8562 4.8562 3.1191
angles (deg): 90.00 90.00 90.00
With the nearest neighbours (Å) after each atom.
Atoms (fractional coordinates):
Ta (0.0000, 0.0000, 0.0000)  4 La 2.89, 4 Co 2.89, 2 Ta 3.12
Ta (0.5000, 0.5000, 0.0000)  4 La 2.89, 4 Co 2.89, 2 Ta 3.12
Co (0.5000, 0.0000, 0.5000)  8 Ta 2.89, 2 Co 3.12
La (0.0000, 0.5000, 0.5000)  8 Ta 2.89, 2 La 3.12

Computed properties:
The crystal system is tetragonal. The calculation puts the energy above the most stable polymorph in this dataset at 568.9 meV per atom. As for the theoretical density: 12.6 g/cm³. Its space group is P4/mmm, No. 123. For the formation energy from the elements, the calculation gives 2.8 eV per formula unit.



Density functional theory data (PBE-GGA) for crystalline LaTa2Co at its relaxed geometry.

a b c (Å): 3.2525 4.6698 5.1149
angles (deg): 90.00 90.00 90.00
With the nearest neighbours (Å) after each atom.
Atoms (fractional coordinates):
Co (0.5000, 0.0000, 0.5000)  4 La 2.85, 4 Ta 3.03
La (0.0000, 0.5000, 0.5000)  4 Co 2.85, 4 Ta 3.03
Ta (0.0000, 0.0000, 0.0000)  4 Ta 2.85, 4 Co 3.03
Ta (0.5000, 0.5000, 0.0000)  4 Ta 2.85, 4 La 3.03

Computed properties:
The crystal system is orthorhombic. The calculation puts the energy above the most stable polymorph in this dataset at 329.9 meV per atom. As for the theoretical density: 12.0 g/cm³. Its space group is Pmmm, No. 47. For the formation energy from the elements, the calculation gives 1.9 eV per formula unit.



Density functional theory data (PBE-GGA) for crystalline LaTa4Co at its relaxed geometry.

a b c (Å): 5.6071 5.6071 5.6071
angles (deg): 60.00 60.00 60.00
With the nearest neighbours (Å) after each atom.
Atoms (fractional coordinates):
Ta (0.3744, 0.8768, 0.3744)  6 Ta 2.79-2.82
Ta (0.8768, 0.3744, 0.3744)  6 Ta 2.79-2.82
Ta (0.3744, 0.3744, 0.8768)  6 Ta 2.79-2.82
Ta (0.3744, 0.3744, 0.3744)  6 Ta 2.79-2.82
La (0.0000, 0.0000, 0.0000)  12 Ta 3.29, 4 Co 3.43
Co (0.7500, 0.7500, 0.7500)  12 Ta 3.29, 4 La 3.43

Computed properties:
The crystal system is cubic. As for the theoretical density: 12.3 g/cm³. Its space group is F-43m, No. 216. For the formation energy from the elements, the calculation gives 3.8 eV per formula unit.



Density functional theory data (PBE-GGA) for crystalline LaTa2Co at its relaxed geometry.

a b c (Å): 9.4577 9.4577 9.4577
angles (deg): 19.12 19.12 19.12
With the nearest neighbours (Å) after each atom.
Atoms (fractional coordinates):
Ta (0.2400, 0.2400, 0.2400)  3 Co 2.47
Ta (0.9888, 0.9888, 0.9888)  9 Ta 2.92-3.14
La (0.7582, 0.7582, 0.7582)  3 Co 3.05, 6 La 3.14, 3 Ta 3.39
Co (0.5130, 0.5130, 0.5130)  3 Ta 2.47

Computed properties:
The crystal system is trigonal. The calculation puts the energy above the most stable polymorph in this dataset at 275.8 meV per atom. As for the theoretical density: 11.7 g/cm³. Its space group is R3m, No. 160. For the formation energy from the elements, the calculation gives 1.7 eV per formula unit.